1.
Compound: Cs3Er3SbS8
Source: Alexandria via LeMat-Bulk
Functional: PBE
Structure: optimized geometry

Its energy relative to the elements, uncorrected is -1.513 eV per atom. The calculation puts the density of states at the Fermi level at 0.152 states/eV/atom.

It has space group R-3m (No. 166, hexagonal axes), with a = 8.0056 Å, b = 8.0056 Å, c = 24.6382 Å, α = 90.00°, β = 90.00° and γ = 120.00°. The asymmetric unit holds Cs at (0.0000, 0.5000, 0.0000), Er at (0.0000, 0.5000, 0.5000), Sb at (0.0000, 0.0000, 0.5000), S at (0.0000, 0.0000, 0.2261) and S at (0.0074, 0.5037, 0.2253).


2.
Compound: Cs2Er2SbS6
Source: Alexandria via LeMat-Bulk
Functional: PBE
Structure: optimized geometry

Its energy relative to the elements, uncorrected is -1.386 eV per atom. The calculation puts the density of states at the Fermi level at 0.428 states/eV/atom.

It has space group C2/m (No. 12), with a = 6.8910 Å, b = 11.9096 Å, c = 8.5970 Å, α = 90.00°, β = 105.85° and γ = 90.00°. The asymmetric unit holds Cs at (0.0000, 0.1681, 0.0000), Er at (0.0000, 0.3330, 0.5000), Sb at (0.0000, 0.0000, 0.5000), S at (0.2234, 0.1631, 0.6762) and S at (0.2347, 0.5000, 0.6752).


3.
Compound: Cs2ErSbS4
Source: Alexandria via LeMat-Bulk
Functional: PBE
Structure: optimized geometry

Its energy relative to the elements, uncorrected is -1.086 eV per atom. The calculation puts the density of states at the Fermi level at 0.000 states/eV/atom.

It has space group Fddd (No. 70, origin choice 2), with a = 6.9537 Å, b = 15.1397 Å, c = 24.9829 Å, α = 90.00°, β = 90.00° and γ = 90.00°. The asymmetric unit holds Cs at (0.1250, 0.1250, 0.3059), Er at (0.1250, 0.1250, 0.1250), Sb at (0.1250, 0.1250, 0.6250) and S at (0.1143, 0.2797, 0.4270).


4.
Compound: Cs3Er2ScS6
Source: Alexandria via LeMat-Bulk
Functional: PBE
Structure: optimized geometry

Its energy relative to the elements, uncorrected is -1.776 eV per atom. The calculation puts the density of states at the Fermi level at 0.000 states/eV/atom.

It has space group C2/m (No. 12), with a = 6.9552 Å, b = 12.0456 Å, c = 8.3544 Å, α = 90.00°, β = 106.12° and γ = 90.00°. The asymmetric unit holds Cs at (0.0000, 0.0000, 0.0000), Cs at (0.0000, 0.3319, 0.0000), Er at (0.0000, 0.1666, 0.5000), Sc at (0.0000, 0.5000, 0.5000), S at (0.2209, 0.3383, 0.6776) and S at (0.2359, 0.0000, 0.6784).


5.
Compound: Cs3ErSc2S6
Source: Alexandria via LeMat-Bulk
Functional: PBE
Structure: optimized geometry

Its energy relative to the elements, uncorrected is -1.725 eV per atom. The calculation puts the density of states at the Fermi level at 0.000 states/eV/atom.

It has space group C2/m (No. 12), with a = 6.8581 Å, b = 11.8757 Å, c = 8.3146 Å, α = 90.00°, β = 105.97° and γ = 90.00°. The asymmetric unit holds Cs at (0.0000, 0.0000, 0.0000), Cs at (0.0000, 0.3348, 0.0000), Er at (0.0000, 0.5000, 0.5000), Sc at (0.0000, 0.1668, 0.5000), S at (0.2149, 0.0000, 0.6750) and S at (0.2303, 0.3282, 0.6758).


6.
Compound: Cs3Er3ScS8
Source: Alexandria via LeMat-Bulk
Functional: PBE
Structure: optimized geometry

Its energy relative to the elements, uncorrected is -1.739 eV per atom. The calculation puts the density of states at the Fermi level at 0.714 states/eV/atom.

It has space group C2/m (No. 12), with a = 13.7520 Å, b = 7.9347 Å, c = 9.3967 Å, α = 90.00°, β = 119.25° and γ = 90.00°. The asymmetric unit holds Cs at (0.0000, 0.0000, 0.0000), Cs at (0.2500, 0.2500, 0.0000), Er at (0.0000, 0.5000, 0.5000), Er at (0.2500, 0.2500, 0.5000), Sc at (0.0000, 0.0000, 0.5000), S at (0.0226, 0.2420, 0.3260), S at (0.2195, 0.0000, 0.6741) and S at (0.2269, 0.5000, 0.6804).


Question: Which value of energy relative to the elements, uncorrected does entry 4 give?
Answer: -1.776 eV per atom


Question: What is the formula in the third record?
Answer: Cs2ErSbS4


Question: Which of these has the lowest energy relative to the elements, uncorrected?
Answer: Cs3Er2ScS6


Question: What is the formula in the fourth record?
Answer: Cs3Er2ScS6